Entry from Alexandria via LeMat-Bulk: Sc2PaVO8 after structural relaxation (PBE with a Hubbard U).

Values from the calculation:
The magnetization is 0.00 μB/f.u. The energy is -105.39 eV per formula unit.

a = 4.8036 Å, b = 4.8031 Å, c = 6.4937 Å
α = 90.00°, β = 90.00°, γ = 90.88°
Closest atoms and distances in Å follow each position.
Element x y z (fractional)
Sc 0.5000 0.5000 0.7643  6 O 2.11-2.14
Sc 0.5000 0.5000 0.2357  6 O 2.11-2.14
Pa 0.0000 0.0000 0.5000  6 O 2.09-2.22
V 0.0000 0.0000 0.0000  6 O 1.91-1.92
O 0.1875 0.8122 0.2205  1 V 1.92, 1 Sc 2.14
O 0.7160 0.7161 0.0000  1 V 1.91, 2 Sc 2.11
O 0.8126 0.1878 0.2205  1 V 1.92, 1 Sc 2.14
O 0.8125 0.1878 0.7795  1 V 1.92, 1 Sc 2.14
O 0.2840 0.2838 0.0000  1 V 1.91, 2 Sc 2.11
O 0.1874 0.8122 0.7795  1 V 1.92, 1 Sc 2.14
O 0.6889 0.6897 0.5000  1 Pa 2.09, 2 Sc 2.14
O 0.3111 0.3103 0.5000  1 Pa 2.09, 2 Sc 2.14